(w)
# SbOs2Pb

A geometry-optimized SbOs2Pb structure (PBE-GGA, the Alexandria database).

Theoretical density (Mg/m³): 15.2
Total magnetic moment (μB per cell): 0.0
Space group: Pmmm

abc: 3.273 4.352 5.442
angles: 90.00 90.00 90.00
Fractional coordinates of all 4 atoms:
Sb  0.000  0.000  0.000
Os  0.000  0.500  0.500
Os  0.500  0.500  0.000
Pb  0.500  0.000  0.500


(x)
# SbOs2Pb

A geometry-optimized SbOs2Pb structure (PBE-GGA, the Alexandria database).

Theoretical density (Mg/m³): 16.0
Total magnetic moment (μB per cell): 0.0
Space group: P4/mmm

abc: 3.250 3.250 6.980
angles: 90.00 90.00 90.00
Fractional coordinates of all 4 atoms:
Sb  0.000  0.000  0.000
Os  0.500  0.500  0.219
Os  0.500  0.500  0.781
Pb  0.000  0.000  0.500


Taking the most stable structure as the zero point, the relative energies in kJ/mol of atoms are (w) 33.4; (x) 0.0.


(w)
# SbTe2OsPb

A geometry-optimized SbTe2OsPb structure (PBE-GGA, the Alexandria database).

Theoretical density (Mg/m³): 8.6
Total magnetic moment (μB per cell): 0.0
Space group: P4/mmm

abc: 5.476 5.476 4.992
angles: 90.00 90.00 90.00
Fractional coordinates of all 5 atoms:
Sb  0.000  0.000  0.000
Te  0.000  0.500  0.500
Te  0.500  0.000  0.500
Os  0.000  0.000  0.500
Pb  0.500  0.500  0.000


(x)
# SbTe2OsPb

A geometry-optimized SbTe2OsPb structure (PBE-GGA, the Alexandria database).

Theoretical density (Mg/m³): 6.7
Total magnetic moment (μB per cell): 3.4
Space group: P4/mmm

abc: 5.727 5.727 5.812
angles: 90.00 90.00 90.00
Fractional coordinates of all 5 atoms:
Sb  0.000  0.000  0.000
Te  0.000  0.500  0.500
Te  0.500  0.000  0.500
Os  0.500  0.500  0.000
Pb  0.000  0.000  0.500


Taking the most stable structure as the zero point, the relative energies in kJ/mol of atoms are (w) 0.0; (x) 134.4.


(w)
# ScOsPb2

A geometry-optimized ScOsPb2 structure (PBE-GGA, the Alexandria database).

Theoretical density (Mg/m³): 12.6
Total magnetic moment (μB per cell): 0.0
Space group: I-4m2

abc: 5.522 5.522 5.522
angles: 134.05 134.05 67.02
Fractional coordinates of all 4 atoms:
Sc  0.000  0.000  0.000
Os  0.250  0.750  0.500
Pb  0.500  0.500  0.000
Pb  0.750  0.250  0.500


(x)
# ScOsPb2

A geometry-optimized ScOsPb2 structure (PBE-GGA, the Alexandria database).

Theoretical density (Mg/m³): 12.2
Total magnetic moment (μB per cell): 0.5
Space group: C2/m

abc: 5.597 5.597 3.343
angles: 102.50 102.50 113.61
Fractional coordinates of all 4 atoms:
Sc  0.000  0.000  0.000
Os  0.500  0.500  0.000
Pb  0.000  0.500  0.500
Pb  0.500  0.000  0.500


(y)
# ScOsPb2

A geometry-optimized ScOsPb2 structure (PBE-GGA, the Alexandria database).

Theoretical density (Mg/m³): 11.2
Total magnetic moment (μB per cell): 0.0
Space group: Cm

abc: 5.321 5.321 6.482
angles: 116.05 116.05 36.45
Fractional coordinates of all 4 atoms:
Sc  0.000  0.000  0.000
Os  0.348  0.348  0.652
Pb  0.626  0.626  0.653
Pb  0.813  0.813  0.261


(z)
# ScOsPb2

A geometry-optimized ScOsPb2 structure (PBE-GGA, the Alexandria database).

Theoretical density (Mg/m³): 12.2
Total magnetic moment (μB per cell): 0.0
Space group: P2/m

abc: 3.422 4.657 5.585
angles: 90.00 96.71 90.00
Fractional coordinates of all 4 atoms:
Sc  0.000  0.000  0.000
Os  0.500  0.000  0.500
Pb  0.312  0.500  0.740
Pb  0.688  0.500  0.260


Taking the most stable structure as the zero point, the relative energies in kJ/mol of atoms are (w) 16.4; (x) 28.8; (y) 0.0; (z) 13.4.


(w)
# ScOsPb2

A geometry-optimized ScOsPb2 structure (PBE-GGA, the Alexandria database).

Theoretical density (Mg/m³): 11.2
Total magnetic moment (μB per cell): 0.0
Space group: I-42d

abc: 6.444 6.444 6.444
angles: 101.99 101.99 125.77
Fractional coordinates of all 8 atoms:
Sc  0.000  0.000  0.000
Sc  0.750  0.250  0.500
Os  0.250  0.750  0.500
Os  0.500  0.500  0.000
Pb  0.168  0.125  0.543
Pb  0.375  0.832  0.957
Pb  0.582  0.625  0.457
Pb  0.875  0.418  0.043


(x)
# ScOsPb2

A geometry-optimized ScOsPb2 structure (PBE-GGA, the Alexandria database).

Theoretical density (Mg/m³): 12.0
Total magnetic moment (μB per cell): 0.0
Space group: Cmmm

abc: 3.289 3.289 9.391
angles: 90.00 90.00 117.61
Fractional coordinates of all 4 atoms:
Sc  0.000  0.000  0.000
Os  0.000  0.000  0.500
Pb  0.500  0.500  0.268
Pb  0.500  0.500  0.732


(y)
# ScOsPb2

A geometry-optimized ScOsPb2 structure (PBE-GGA, the Alexandria database).

Theoretical density (Mg/m³): 13.0
Total magnetic moment (μB per cell): 0.0
Space group: Fm-3m

abc: 4.900 4.900 4.900
angles: 60.00 60.00 60.00
Fractional coordinates of all 4 atoms:
Sc  0.000  0.000  0.000
Os  0.500  0.500  0.500
Pb  0.250  0.250  0.250
Pb  0.750  0.750  0.750


(z)
# ScOsPb2

A geometry-optimized ScOsPb2 structure (PBE-GGA, the Alexandria database).

Theoretical density (Mg/m³): 12.4
Total magnetic moment (μB per cell): 0.0
Space group: C2/m

abc: 4.967 4.967 5.516
angles: 100.83 100.83 40.74
Fractional coordinates of all 4 atoms:
Sc  0.000  0.000  0.000
Os  0.500  0.500  0.500
Pb  0.238  0.238  0.730
Pb  0.762  0.762  0.270


Taking the most stable structure as the zero point, the relative energies in kJ/mol of atoms are (w) 18.2; (x) 24.7; (y) 0.0; (z) 3.3.


(w)
# ScOsPb2

A geometry-optimized ScOsPb2 structure (PBE-GGA, the Alexandria database).

Theoretical density (Mg/m³): 11.1
Total magnetic moment (μB per cell): 0.0
Space group: Pm

abc: 3.313 3.333 8.937
angles: 90.00 99.77 90.00
Fractional coordinates of all 4 atoms:
Sc  0.000  0.000  0.000
Os  0.571  0.500  0.155
Pb  0.166  0.000  0.366
Pb  0.378  0.500  0.736


(x)
# ScOsPb2

A geometry-optimized ScOsPb2 structure (PBE-GGA, the Alexandria database).

Theoretical density (Mg/m³): 11.4
Total magnetic moment (μB per cell): 0.0
Space group: R3m

abc: 10.164 10.164 10.164
angles: 18.75 18.75 18.75
Fractional coordinates of all 4 atoms:
Sc  0.000  0.000  0.000
Os  0.272  0.272  0.272
Pb  0.531  0.531  0.531
Pb  0.759  0.759  0.759


(y)
# ScOsPb2

A geometry-optimized ScOsPb2 structure (PBE-GGA, the Alexandria database).

Theoretical density (Mg/m³): 12.6
Total magnetic moment (μB per cell): 0.2
Space group: P4/mmm

abc: 3.387 3.387 7.443
angles: 90.00 90.00 90.00
Fractional coordinates of all 4 atoms:
Sc  0.000  0.000  0.000
Os  0.000  0.000  0.500
Pb  0.500  0.500  0.275
Pb  0.500  0.500  0.725


(z)
# ScOsPb2

A geometry-optimized ScOsPb2 structure (PBE-GGA, the Alexandria database).

Theoretical density (Mg/m³): 12.0
Total magnetic moment (μB per cell): 0.0
Space group: R-3m

abc: 9.289 9.289 9.289
angles: 20.93 20.93 20.93
Fractional coordinates of all 4 atoms:
Sc  0.000  0.000  0.000
Os  0.500  0.500  0.500
Pb  0.241  0.241  0.241
Pb  0.759  0.759  0.759


Taking the most stable structure as the zero point, the relative energies in kJ/mol of atoms are (w) 0.0; (x) 16.8; (y) 32.3; (z) 44.5.